Record 1
PBE-GGA Pm2Ga3GePd4, relaxed; uncorrected energy = -5.20 eV per atom; symmetry = P-4m2 (115); formation enthalpy at 0 K = -774 kJ/mol of formula units; calculated volume = 192.7 Å³ per cell
1.0
4.3408 0.0000 0.0000
0.0000 4.3408 0.0000
0.0000 0.0000 10.2241
Pm Ga Ge Pd
2 3 1 4
direct
0.0000 0.5000 0.2448
0.5000 0.0000 0.7552
0.0000 0.0000 0.0000
0.0000 0.5000 0.6278
0.5000 0.0000 0.3722
0.5000 0.5000 0.0000
0.0000 0.0000 0.5000
0.0000 0.5000 0.8701
0.5000 0.0000 0.1299
0.5000 0.5000 0.5000



Record 2
PBE-GGA Pm2GaGe3Pd4, relaxed; uncorrected energy = -5.55 eV per atom; symmetry = P-4m2 (115); formation enthalpy at 0 K = -802 kJ/mol of formula units; calculated volume = 191.4 Å³ per cell
1.0
4.3253 0.0000 0.0000
0.0000 4.3253 0.0000
0.0000 0.0000 10.2294
Pm Ga Ge Pd
2 1 3 4
direct
0.0000 0.5000 0.2476
0.5000 0.0000 0.7524
0.5000 0.5000 0.0000
0.0000 0.0000 0.0000
0.0000 0.5000 0.6293
0.5000 0.0000 0.3707
0.0000 0.0000 0.5000
0.0000 0.5000 0.8694
0.5000 0.0000 0.1306
0.5000 0.5000 0.5000



Record 3
PBE-GGA Pm2GaGePd6, relaxed; uncorrected energy = -5.52 eV per atom; symmetry = C2/m (12); formation enthalpy at 0 K = -669 kJ/mol of formula units; calculated volume = 191.3 Å³ per cell
1.0
5.8662 -2.7555 0.0000
5.8662 2.7555 0.0000
-5.3272 0.0000 5.9167
Pm Ga Ge Pd
2 1 1 6
direct
0.0018 0.0018 0.2521
0.9982 0.9982 0.7479
0.5000 0.5000 0.5000
0.5000 0.5000 0.0000
0.0013 0.5005 0.7019
0.3310 0.3310 0.0821
0.5005 0.0013 0.7019
0.4995 0.9987 0.2981
0.6690 0.6690 0.9179
0.9987 0.4995 0.2981



Record 4
PBE-GGA Pr2GaGe3Pd4, relaxed; uncorrected energy = -5.56 eV per atom; symmetry = P-4m2 (115); formation enthalpy at 0 K = -807 kJ/mol of formula units; calculated volume = 194.7 Å³ per cell
1.0
4.3651 0.0000 0.0000
0.0000 4.3651 0.0000
0.0000 0.0000 10.2190
Pr Ga Ge Pd
2 1 3 4
direct
0.0000 0.5000 0.2474
0.5000 0.0000 0.7526
0.5000 0.5000 0.0000
0.0000 0.0000 0.0000
0.0000 0.5000 0.6283
0.5000 0.0000 0.3717
0.0000 0.0000 0.5000
0.0000 0.5000 0.8704
0.5000 0.0000 0.1296
0.5000 0.5000 0.5000



Record 5
PBE-GGA Pr3GaGe2Pd9, relaxed; uncorrected energy = -5.45 eV per atom; symmetry = P-3m1 (164); formation enthalpy at 0 K = -815 kJ/mol of formula units; calculated volume = 327.0 Å³ per cell
1.0
6.4769 0.0000 0.0000
-3.2384 5.6091 0.0000
0.0000 0.0000 9.0006
Pr Ga Ge Pd
3 1 2 9
direct
0.0000 0.0000 0.0000
0.3333 0.6667 0.7036
0.6667 0.3333 0.2964
0.0000 0.0000 0.5000
0.3333 0.6667 0.1819
0.6667 0.3333 0.8181
0.0000 0.5000 0.0000
0.1411 0.2822 0.2868
0.1411 0.8589 0.2868
0.2822 0.1411 0.7132
0.5000 0.0000 0.0000
0.5000 0.5000 0.0000
0.7178 0.8589 0.2868
0.8589 0.1411 0.7132
0.8589 0.7178 0.7132



Record 6
PBE-GGA Pr2GaGe4Pd3, relaxed; uncorrected energy = -5.42 eV per atom; symmetry = P-4m2 (115); formation enthalpy at 0 K = -727 kJ/mol of formula units; calculated volume = 196.6 Å³ per cell
1.0
4.2946 0.0000 0.0000
0.0000 4.2946 0.0000
0.0000 0.0000 10.6598
Pr Ga Ge Pd
2 1 4 3
direct
0.0000 0.5000 0.2458
0.5000 0.0000 0.7542
0.0000 0.0000 0.5000
0.0000 0.0000 0.0000
0.0000 0.5000 0.6409
0.5000 0.0000 0.3591
0.5000 0.5000 0.0000
0.0000 0.5000 0.8719
0.5000 0.0000 0.1281
0.5000 0.5000 0.5000



Record 7
PBE-GGA Pr3GaGe6Pd2, relaxed; uncorrected energy = -5.03 eV per atom; symmetry = P-3m1 (164); formation enthalpy at 0 K = -469 kJ/mol of formula units; calculated volume = 265.3 Å³ per cell
1.0
5.9930 0.0000 0.0000
-2.9965 5.1901 0.0000
0.0000 0.0000 8.5301
Pr Ga Ge Pd
3 1 6 2
direct
0.0000 0.0000 0.0000
0.3333 0.6667 0.6113
0.6667 0.3333 0.3887
0.0000 0.0000 0.5000
0.1884 0.3768 0.2700
0.1884 0.8116 0.2700
0.3768 0.1884 0.7300
0.6232 0.8116 0.2700
0.8116 0.1884 0.7300
0.8116 0.6232 0.7300
0.3333 0.6667 0.0158
0.6667 0.3333 0.9842



Record 8
PBE-GGA GaGe2PdPt, relaxed; uncorrected energy = -4.28 eV per atom; symmetry = P4/mmm (123); formation enthalpy at 0 K = 202 kJ/mol of formula units; calculated volume = 112.4 Å³ per cell
1.0
4.6404 0.0000 0.0000
0.0000 4.6404 0.0000
0.0000 0.0000 5.2203
Ga Ge Pd Pt
1 2 1 1
direct
0.0000 0.0000 0.0000
0.0000 0.5000 0.5000
0.5000 0.0000 0.5000
0.5000 0.5000 0.5000
0.5000 0.5000 0.0000



Record 9
PBE-GGA Pu3GaGe6Pd2, relaxed; uncorrected energy = -7.23 eV per atom; symmetry = P-3m1 (164); formation enthalpy at 0 K = -261 kJ/mol of formula units; calculated volume = 244.6 Å³ per cell
1.0
5.7040 0.0000 0.0000
-2.8520 4.9398 0.0000
0.0000 0.0000 8.6826
Pu Ga Ge Pd
3 1 6 2
direct
0.0000 0.0000 0.0000
0.3333 0.6667 0.5934
0.6667 0.3333 0.4066
0.0000 0.0000 0.5000
0.1793 0.3586 0.2681
0.1793 0.8207 0.2681
0.3586 0.1793 0.7319
0.6414 0.8207 0.2681
0.8207 0.1793 0.7319
0.8207 0.6414 0.7319
0.3333 0.6667 0.0213
0.6667 0.3333 0.9787



Record 10
PBE-GGA Pu2Ga3GePd4, relaxed; uncorrected energy = -6.89 eV per atom; symmetry = P-4m2 (115); formation enthalpy at 0 K = -560 kJ/mol of formula units; calculated volume = 191.7 Å³ per cell
1.0
4.3606 0.0000 0.0000
0.0000 4.3606 0.0000
0.0000 0.0000 10.0800
Pu Ga Ge Pd
2 3 1 4
direct
0.0000 0.5000 0.2475
0.5000 0.0000 0.7525
0.0000 0.0000 0.0000
0.0000 0.5000 0.6270
0.5000 0.0000 0.3730
0.5000 0.5000 0.0000
0.0000 0.0000 0.5000
0.0000 0.5000 0.8715
0.5000 0.0000 0.1285
0.5000 0.5000 0.5000



Record 11
PBE-GGA PuGaGePd, relaxed; uncorrected energy = -7.18 eV per atom; symmetry = F-43m (216); formation enthalpy at 0 K = -151 kJ/mol of formula units; calculated volume = 300.8 Å³ per cell
1.0
6.7006 0.0000 0.0000
0.0000 6.7006 0.0000
0.0000 0.0000 6.7006
Pu Ga Ge Pd
4 4 4 4
direct
0.0000 0.0000 0.0000
0.0000 0.5000 0.5000
0.5000 0.0000 0.5000
0.5000 0.5000 0.0000
0.2500 0.2500 0.2500
0.2500 0.7500 0.7500
0.7500 0.2500 0.7500
0.7500 0.7500 0.2500
0.2500 0.2500 0.7500
0.2500 0.7500 0.2500
0.7500 0.2500 0.2500
0.7500 0.7500 0.7500
0.0000 0.0000 0.5000
0.0000 0.5000 0.0000
0.5000 0.0000 0.0000
0.5000 0.5000 0.5000



Record 12
PBE-GGA GaGePdRh, relaxed; uncorrected energy = -5.46 eV per atom; symmetry = F-43m (216); formation enthalpy at 0 K = -160 kJ/mol of formula units; calculated volume = 237.9 Å³ per cell
1.0
6.1962 0.0000 0.0000
0.0000 6.1962 0.0000
0.0000 0.0000 6.1962
Ga Ge Pd Rh
4 4 4 4
direct
0.0000 0.0000 0.0000
0.0000 0.5000 0.5000
0.5000 0.0000 0.5000
0.5000 0.5000 0.0000
0.0000 0.0000 0.5000
0.0000 0.5000 0.0000
0.5000 0.0000 0.0000
0.5000 0.5000 0.5000
0.2500 0.2500 0.7500
0.2500 0.7500 0.2500
0.7500 0.2500 0.2500
0.7500 0.7500 0.7500
0.2500 0.2500 0.2500
0.2500 0.7500 0.7500
0.7500 0.2500 0.7500
0.7500 0.7500 0.2500



Record 13
PBE-GGA GaGeSbPd2, relaxed; formation energy without anion corrections = 0.472 eV/atom; uncorrected energy = -3.96 eV per atom; symmetry = P4/mmm (123); calculated volume = 132.9 Å³ per cell
1.0
5.0189 0.0000 0.0000
0.0000 5.0189 0.0000
0.0000 0.0000 5.2776
Ga Ge Sb Pd
1 1 1 2
direct
0.0000 0.0000 0.0000
0.5000 0.5000 0.0000
0.5000 0.5000 0.5000
0.0000 0.5000 0.5000
0.5000 0.0000 0.5000



Record 14
PBE-GGA Sm2Ga4Ge2Pd, relaxed; uncorrected energy = -4.57 eV per atom; symmetry = I4/mmm (139); formation enthalpy at 0 K = -497 kJ/mol of formula units; calculated volume = 179.7 Å³ per cell
1.0
-3.1194 3.1194 4.6155
3.1194 -3.1194 4.6155
3.1194 3.1194 -4.6155
Sm Ga Ge Pd
2 4 2 1
direct
0.2500 0.7500 0.5000
0.7500 0.2500 0.5000
0.2131 0.2131 0.4263
0.2131 0.7869 0.0000
0.7869 0.2131 0.0000
0.7869 0.7869 0.5737
0.2199 0.2199 0.0000
0.7801 0.7801 0.0000
0.5000 0.5000 0.0000



Record 15
PBE-GGA Sm2GaGePd6, relaxed; uncorrected energy = -5.45 eV per atom; symmetry = R-3m (166); formation enthalpy at 0 K = -609 kJ/mol of formula units; calculated volume = 210.1 Å³ per cell
1.0
2.8416 1.6406 7.5096
-2.8416 1.6406 7.5096
0.0000 -3.2812 7.5096
Sm Ga Ge Pd
2 1 1 6
direct
0.2075 0.2075 0.2075
0.7925 0.7925 0.7925
0.5000 0.5000 0.5000
0.0000 0.0000 0.0000
0.2488 0.2488 0.7459
0.2488 0.7459 0.2488
0.2541 0.7512 0.7512
0.7459 0.2488 0.2488
0.7512 0.2541 0.7512
0.7512 0.7512 0.2541



Record 16
PBE-GGA Sm3Ga2GePd9, relaxed; uncorrected energy = -5.30 eV per atom; symmetry = P-3m1 (164); formation enthalpy at 0 K = -763 kJ/mol of formula units; calculated volume = 321.2 Å³ per cell
1.0
6.5640 0.0000 0.0000
-3.2820 5.6846 0.0000
0.0000 0.0000 8.6088
Sm Ga Ge Pd
3 2 1 9
direct
0.0000 0.0000 0.0000
0.3333 0.6667 0.7167
0.6667 0.3333 0.2833
0.3333 0.6667 0.1854
0.6667 0.3333 0.8146
0.0000 0.0000 0.5000
0.0000 0.5000 0.0000
0.1401 0.2802 0.2835
0.1401 0.8599 0.2835
0.2802 0.1401 0.7165
0.5000 0.0000 0.0000
0.5000 0.5000 0.0000
0.7198 0.8599 0.2835
0.8599 0.1401 0.7165
0.8599 0.7198 0.7165



Record 17
PBE-GGA Sm2GaGe4Pd3, relaxed; uncorrected energy = -5.38 eV per atom; symmetry = P-4m2 (115); formation enthalpy at 0 K = -706 kJ/mol of formula units; calculated volume = 192.1 Å³ per cell
1.0
4.2314 0.0000 0.0000
0.0000 4.2314 0.0000
0.0000 0.0000 10.7315
Sm Ga Ge Pd
2 1 4 3
direct
0.0000 0.5000 0.2467
0.5000 0.0000 0.7533
0.0000 0.0000 0.5000
0.0000 0.0000 0.0000
0.0000 0.5000 0.6418
0.5000 0.0000 0.3582
0.5000 0.5000 0.0000
0.0000 0.5000 0.8688
0.5000 0.0000 0.1312
0.5000 0.5000 0.5000



Record 18
PBE-GGA Sr2Ga3GePd4, relaxed; uncorrected energy = -4.50 eV per atom; symmetry = P-4m2 (115); formation enthalpy at 0 K = -693 kJ/mol of formula units; calculated volume = 204.4 Å³ per cell
1.0
4.4972 0.0000 0.0000
0.0000 4.4972 0.0000
0.0000 0.0000 10.1052
Sr Ga Ge Pd
2 3 1 4
direct
0.0000 0.5000 0.2483
0.5000 0.0000 0.7517
0.0000 0.5000 0.8788
0.5000 0.0000 0.1212
0.5000 0.5000 0.5000
0.0000 0.0000 0.5000
0.0000 0.0000 0.0000
0.0000 0.5000 0.6261
0.5000 0.0000 0.3739
0.5000 0.5000 0.0000



Record 19
PBE-GGA Sr2GaGe3Pd4, relaxed; uncorrected energy = -4.81 eV per atom; symmetry = P-4m2 (115); formation enthalpy at 0 K = -682 kJ/mol of formula units; calculated volume = 202.8 Å³ per cell
1.0
4.4590 0.0000 0.0000
0.0000 4.4590 0.0000
0.0000 0.0000 10.1998
Sr Ga Ge Pd
2 1 3 4
direct
0.0000 0.5000 0.2498
0.5000 0.0000 0.7502
0.0000 0.0000 0.5000
0.0000 0.5000 0.8780
0.5000 0.0000 0.1220
0.5000 0.5000 0.5000
0.0000 0.0000 0.0000
0.0000 0.5000 0.6291
0.5000 0.0000 0.3709
0.5000 0.5000 0.0000



Record 20
PBE-GGA Sr2GaGe4Pd3, relaxed; uncorrected energy = -4.67 eV per atom; symmetry = P-4m2 (115); formation enthalpy at 0 K = -605 kJ/mol of formula units; calculated volume = 204.9 Å³ per cell
1.0
4.3758 0.0000 0.0000
0.0000 4.3758 0.0000
0.0000 0.0000 10.7000
Sr Ga Ge Pd
2 1 4 3
direct
0.0000 0.5000 0.2478
0.5000 0.0000 0.7522
0.0000 0.0000 0.5000
0.0000 0.0000 0.0000
0.0000 0.5000 0.6375
0.5000 0.0000 0.3625
0.5000 0.5000 0.0000
0.0000 0.5000 0.8737
0.5000 0.0000 0.1263
0.5000 0.5000 0.5000



Record 21
PBE-GGA Sr2Ga3Ge4Pd, relaxed; uncorrected energy = -4.03 eV per atom; symmetry = P-4m2 (115); formation enthalpy at 0 K = -403 kJ/mol of formula units; calculated volume = 217.5 Å³ per cell
1.0
4.5809 0.0000 0.0000
0.0000 4.5809 0.0000
0.0000 0.0000 10.3662
Sr Ga Ge Pd
2 3 4 1
direct
0.0000 0.5000 0.2430
0.5000 0.0000 0.7570
0.0000 0.0000 0.0000
0.0000 0.5000 0.6308
0.5000 0.0000 0.3692
0.0000 0.0000 0.5000
0.0000 0.5000 0.8765
0.5000 0.0000 0.1235
0.5000 0.5000 0.5000
0.5000 0.5000 0.0000



Record 22
PBE-GGA Tb2GaGe4Pd3, relaxed; uncorrected energy = -5.34 eV per atom; symmetry = P-4m2 (115); formation enthalpy at 0 K = -680 kJ/mol of formula units; calculated volume = 187.3 Å³ per cell
1.0
4.0826 0.0000 0.0000
0.0000 4.0826 0.0000
0.0000 0.0000 11.2344
Tb Ga Ge Pd
2 1 4 3
direct
0.0000 0.5000 0.2463
0.5000 0.0000 0.7537
0.5000 0.5000 0.0000
0.0000 0.0000 0.5000
0.0000 0.5000 0.8575
0.5000 0.0000 0.1425
0.5000 0.5000 0.5000
0.0000 0.0000 0.0000
0.0000 0.5000 0.6410
0.5000 0.0000 0.3590



Record 23
PBE-GGA Tb2GaGePd6, relaxed; uncorrected energy = -5.52 eV per atom; symmetry = C2/m (12); formation enthalpy at 0 K = -685 kJ/mol of formula units; calculated volume = 185.7 Å³ per cell
1.0
5.8051 -2.7369 0.0000
5.8051 2.7369 0.0000
-5.2307 0.0000 5.8449
Tb Ga Ge Pd
2 1 1 6
direct
0.0000 0.0000 0.2493
0.0000 0.0000 0.7507
0.5000 0.5000 0.0000
0.5000 0.5000 0.5000
0.0012 0.5007 0.1944
0.3272 0.3272 0.5782
0.4993 0.9988 0.8056
0.5007 0.0012 0.1944
0.6728 0.6728 0.4218
0.9988 0.4993 0.8056